Entry from the Alexandria database: crystalline Pa2VRhN5 at its relaxed geometry (PBE).

E_form (uncorrected) ... -1008 meV per atom
E ... -0.3518 hartree per atom

POSCAR file:
```
Pa2VRhN5
1.0
1.658 -6.373 0.000
1.658 6.373 0.000
0.000 0.000 10.107
Pa V Rh N
4 2 2 10
direct
0.101 0.899 0.500
0.150 0.850 0.130
0.850 0.150 0.630
0.899 0.101 0.000
0.202 0.798 0.841
0.798 0.202 0.341
0.469 0.531 0.274
0.531 0.469 0.774
0.064 0.936 0.901
0.276 0.724 0.482
0.317 0.683 0.199
0.364 0.636 0.819
0.486 0.514 0.584
0.514 0.486 0.084
0.636 0.364 0.319
0.683 0.317 0.699
0.724 0.276 0.982
0.936 0.064 0.401
```